Material: Pm4NdSm2
Method: DFT, PBE
State: optimized geometry

Cell lengths 12.089, 12.089, 12.089 Å; angles 162.96, 151.85, 33.09 degrees
Atoms (fractional coordinates):
Pm 0.085 0.085 0.000
Pm 0.363 0.363 0.000
Pm 0.637 0.637 0.000
Pm 0.915 0.915 0.000
Nd 0.500 0.000 0.500
Sm 0.224 0.724 0.500
Sm 0.776 0.276 0.500

Values from the calculation:
- Space-group type: Immm, No. 71
- Calculated formation energy: 9 kJ per mole of atoms
- Polymorph energy (0 for the lowest one): 0.00 kJ per mole of atoms
- Uncorrected energy: -32.6 eV for the cell shown